(1)
! ZrTaSb (PBE-GGA, relaxed); values from VASP
&SYSTEM
  ibrav = 0, nat = 3, ntyp = 3
/
ATOMIC_SPECIES
Ta 180.95 Ta.upf
Zr 91.22 Zr.upf
Sb 121.76 Sb.upf
CELL_PARAMETERS angstrom
-5.318 -4.595 -1.670
-2.861 -6.342 -0.695
-2.139 0.178 2.331
ATOMIC_POSITIONS angstrom
Ta -4.165 -3.550 0.756
Zr -6.179 -7.255 -0.810
Sb -8.155 -10.892 -2.346
! Electronic total energy = -24.77 eV/cell

(2)
! ZrTaSb (PBE-GGA, relaxed); values from VASP
&SYSTEM
  ibrav = 0, nat = 3, ntyp = 3
/
ATOMIC_SPECIES
Zr 91.22 Zr.upf
Sb 121.76 Sb.upf
Ta 180.95 Ta.upf
CELL_PARAMETERS angstrom
7.007 0.018 0.000
5.611 4.197 0.000
-6.309 -2.108 2.203
ATOMIC_POSITIONS angstrom
Zr 8.459 2.826 0.000
Sb 12.530 4.186 0.000
Ta 4.246 1.418 0.000
! Electronic total energy = -24.17 eV/cell

(3)
! ZrTa2Sb (PBE-GGA, relaxed); values from VASP
&SYSTEM
  ibrav = 0, nat = 4, ntyp = 3
/
ATOMIC_SPECIES
Ta 180.95 Ta.upf
Sb 121.76 Sb.upf
Zr 91.22 Zr.upf
CELL_PARAMETERS angstrom
9.135 0.003 0.002
8.535 3.255 0.002
8.535 1.574 2.849
ATOMIC_POSITIONS angstrom
Ta 26.143 4.820 2.846
Ta 6.676 1.231 0.727
Sb 19.529 3.600 2.126
Zr 13.164 2.427 1.433
! Electronic total energy = -35.95 eV/cell

(4)
! Zr2TaSb2 (PBE-GGA, relaxed); values from VASP
&SYSTEM
  ibrav = 0, nat = 10, ntyp = 3
/
ATOMIC_SPECIES
Zr 91.22 Zr.upf
Ta 180.95 Ta.upf
Sb 121.76 Sb.upf
CELL_PARAMETERS angstrom
7.462 0.000 0.000
0.000 7.462 0.000
0.000 0.000 3.926
ATOMIC_POSITIONS angstrom
Zr 4.896 6.298 1.963
Zr 2.567 1.165 1.963
Zr 6.298 2.567 1.963
Zr 1.165 4.896 1.963
Ta 3.731 3.731 0.000
Ta 0.000 0.000 0.000
Sb 4.827 1.096 0.000
Sb 2.635 6.367 0.000
Sb 1.096 2.635 0.000
Sb 6.367 4.827 0.000
! Electronic total energy = -77.79 eV/cell

(5)
! ZrTa2Sb (PBE-GGA, relaxed); values from VASP
&SYSTEM
  ibrav = 0, nat = 4, ntyp = 3
/
ATOMIC_SPECIES
Zr 91.22 Zr.upf
Ta 180.95 Ta.upf
Sb 121.76 Sb.upf
CELL_PARAMETERS angstrom
-9.000 -0.170 2.091
-7.732 -1.290 4.895
-7.918 1.935 4.355
ATOMIC_POSITIONS angstrom
Zr -6.163 0.119 2.835
Ta -12.244 0.236 5.633
Ta -0.081 0.002 0.037
Sb -18.488 0.356 8.506
! Electronic total energy = -35.27 eV/cell

(6)
! ZrTa2Sb (PBE-GGA, relaxed); values from VASP
&SYSTEM
  ibrav = 0, nat = 4, ntyp = 3
/
ATOMIC_SPECIES
Zr 91.22 Zr.upf
Sb 121.76 Sb.upf
Ta 180.95 Ta.upf
CELL_PARAMETERS angstrom
-1.000 4.474 2.556
-4.985 -0.091 1.640
3.881 -3.494 0.530
ATOMIC_POSITIONS angstrom
Zr -2.992 2.191 2.098
Sb -0.056 1.586 2.592
Ta -2.048 -0.697 2.134
Ta 0.000 0.000 0.000
! Electronic total energy = -36.41 eV/cell

(7)
! ZrTa2Sb (PBE-GGA, relaxed); values from VASP
&SYSTEM
  ibrav = 0, nat = 4, ntyp = 3
/
ATOMIC_SPECIES
Sb 121.76 Sb.upf
Ta 180.95 Ta.upf
Zr 91.22 Zr.upf
CELL_PARAMETERS angstrom
-0.833 -0.539 -2.860
-0.656 -2.863 0.731
-8.457 2.448 2.002
ATOMIC_POSITIONS angstrom
Sb -7.087 0.135 0.437
Ta -8.380 2.425 1.983
Ta -4.306 1.246 1.019
Zr -2.859 -1.089 -0.564
! Electronic total energy = -35.15 eV/cell

(8)
! ZrTa2Sb (PBE-GGA, relaxed); values from VASP
&SYSTEM
  ibrav = 0, nat = 4, ntyp = 3
/
ATOMIC_SPECIES
Zr 91.22 Zr.upf
Ta 180.95 Ta.upf
Sb 121.76 Sb.upf
CELL_PARAMETERS angstrom
-2.759 -1.671 -3.315
3.258 -1.833 -1.788
-0.668 -3.402 2.270
ATOMIC_POSITIONS angstrom
Zr 0.250 -1.752 -2.551
Ta 1.295 -2.617 0.241
Ta 0.000 0.000 0.000
Sb -1.713 -2.536 -0.522
! Electronic total energy = -36.80 eV/cell

(9)
! ZrTaSb (PBE-GGA, relaxed); values from VASP
&SYSTEM
  ibrav = 0, nat = 3, ntyp = 3
/
ATOMIC_SPECIES
Sb 121.76 Sb.upf
Zr 91.22 Zr.upf
Ta 180.95 Ta.upf
CELL_PARAMETERS angstrom
-1.952 2.706 -4.170
-0.974 -2.343 -4.699
-0.943 -0.728 5.206
ATOMIC_POSITIONS angstrom
Sb -3.854 -0.367 -3.620
Zr -2.901 -0.486 -0.734
Ta -0.983 0.123 -2.972
! Electronic total energy = -25.15 eV/cell

(10)
! ZrTa2Sb (PBE-GGA, relaxed); values from VASP
&SYSTEM
  ibrav = 0, nat = 4, ntyp = 3
/
ATOMIC_SPECIES
Sb 121.76 Sb.upf
Ta 180.95 Ta.upf
Zr 91.22 Zr.upf
CELL_PARAMETERS angstrom
-2.452 -1.664 -0.938
1.342 -1.469 2.389
-5.234 4.496 5.705
ATOMIC_POSITIONS angstrom
Sb -4.527 1.845 5.054
Ta -0.029 0.024 0.031
Ta -1.809 -0.490 2.091
Zr -2.598 2.231 2.831
! Electronic total energy = -36.43 eV/cell

(11)
! ZrTa2Sb (PBE-GGA, relaxed); values from VASP
&SYSTEM
  ibrav = 0, nat = 4, ntyp = 3
/
ATOMIC_SPECIES
Zr 91.22 Zr.upf
Ta 180.95 Ta.upf
Sb 121.76 Sb.upf
CELL_PARAMETERS angstrom
5.556 -0.004 -0.002
2.405 5.008 0.002
-3.593 -3.118 2.869
ATOMIC_POSITIONS angstrom
Zr 2.971 -0.310 1.434
Ta 4.020 2.527 0.000
Ta 7.921 4.979 0.000
Sb 1.396 2.196 1.435
! Electronic total energy = -36.72 eV/cell

(12)
! ZrTa2Sb (PBE-GGA, relaxed); values from VASP
&SYSTEM
  ibrav = 0, nat = 4, ntyp = 3
/
ATOMIC_SPECIES
Ta 180.95 Ta.upf
Zr 91.22 Zr.upf
Sb 121.76 Sb.upf
CELL_PARAMETERS angstrom
4.827 0.000 0.000
2.413 4.180 0.000
2.413 1.393 3.941
ATOMIC_POSITIONS angstrom
Ta 0.000 0.000 0.000
Ta 2.413 1.393 0.985
Zr 7.240 4.180 2.956
Sb 4.827 2.787 1.970
! Electronic total energy = -36.10 eV/cell

Number 1: density 10.22 Mg/m³. Number 2: density 10.13 Mg/m³. Number 3: density 11.29 Mg/m³. Number 4: density 9.22 Mg/m³. Number 5: density 11.36 Mg/m³. Number 6: density 11.93 Mg/m³. Number 7: density 11.54 Mg/m³. Number 8: density 12.02 Mg/m³. Number 9: density 10.47 Mg/m³. Number 10: density 11.64 Mg/m³. Number 11: density 11.95 Mg/m³. Number 12: density 12.01 Mg/m³.